# La4Sc3 PBE-GGA optimized geometry
# DFT formation energy: 1.50 eV per formula unit
data_La4Sc3
_cell_length_a 6.1651
_cell_length_b 6.1651
_cell_length_c 6.8302
_cell_angle_alpha 90.00
_cell_angle_beta 90.00
_cell_angle_gamma 120.00
_symmetry_space_group_name_H-M 'P 6/m m m'
_symmetry_Int_Tables_number 191
_symmetry_space_group_name_Hall '-P 6 2'
loop_
_atom_site_label
_atom_site_fract_x
_atom_site_fract_y
_atom_site_fract_z
La1 0.0000 0.0000 0.2255
La2 0.3333 0.6667 0.0000
Sc1 0.0000 0.5000 0.5000

# LaSc3 PBE-GGA optimized geometry
# DFT formation energy: 0.28 eV per formula unit
data_LaSc3
_cell_length_a 3.495
_cell_length_b 10.746
_cell_length_c 5.819
_cell_angle_alpha 90.00
_cell_angle_beta 90.00
_cell_angle_gamma 90.00
_symmetry_space_group_name_H-M 'I m m 2'
_symmetry_Int_Tables_number 44
loop_
_symmetry_equiv_pos_as_xyz
'x,y,z'
'-x,-y,z'
'-x,y,z'
'x,-y,z'
'x+1/2,y+1/2,z+1/2'
'-x+1/2,-y+1/2,z+1/2'
'-x+1/2,y+1/2,z+1/2'
'x+1/2,-y+1/2,z+1/2'
loop_
_atom_site_label
_atom_site_fract_x
_atom_site_fract_y
_atom_site_fract_z
La1 0.000 0.000 0.000
Sc1 0.000 0.242 0.362
Sc2 0.000 0.500 0.012

# La6Sc PBE-GGA optimized geometry
# DFT formation energy: 1.84 eV per formula unit
# Polymorph energy (0 for the lowest one): 0 meV/atom
data_La6Sc
_cell_length_a 6.576
_cell_length_b 6.576
_cell_length_c 11.644
_cell_angle_alpha 90.00
_cell_angle_beta 90.00
_cell_angle_gamma 90.00
_symmetry_space_group_name_H-M 'P 4/n b m'
_symmetry_Int_Tables_number 125
loop_
_symmetry_equiv_pos_as_xyz
'x,y,z'
'-x,-y,-z'
'-y+1/2,x,z'
'y+1/2,-x,-z'
'-x+1/2,-y+1/2,z'
'x+1/2,y+1/2,-z'
'y,-x+1/2,z'
'-y,x+1/2,-z'
'x,-y+1/2,-z'
'-x,y+1/2,z'
'-y+1/2,-x+1/2,-z'
'y+1/2,x+1/2,z'
'-x+1/2,y,-z'
'x+1/2,-y,z'
'y,x,-z'
'-y,-x,z'
loop_
_atom_site_label
_atom_site_fract_x
_atom_site_fract_y
_atom_site_fract_z
La1 0.081 0.581 0.140
La2 0.250 0.250 0.367
Sc1 0.250 0.750 0.500

Final energy per entry: -5.314; -5.910; -4.865 eV/atom